1.
A plane-wave DFT calculation with PBE was carried out for crystalline Y5GeTe5 at its relaxed geometry.

Values from the calculation:
- formation energy without anion corrections (meV per atom) = -1363
- total DFT energy (no corrections) (eV/atom) = -6.15
- total magnetic moment (μB/atom) = 0.00

Unit cell a=13.714 b=6.122 c=8.623 alpha=90.00 beta=108.66 gamma=90.00
Space group C2/m (No. 12)
One atom of each set of equivalent atoms:
1 Y 0.000 0.000 0.000 (multiplicity 2)
2 Y 0.156 0.500 0.318 (multiplicity 4)
3 Y 0.157 0.500 0.840 (multiplicity 4)
4 Ge 0.000 0.500 0.000 (multiplicity 2)
5 Te 0.000 0.500 0.500 (multiplicity 2)
6 Te 0.164 0.000 0.825 (multiplicity 4)
7 Te 0.171 0.000 0.336 (multiplicity 4)

=====

2.
A plane-wave DFT calculation with PBE was carried out for crystalline Y2GeTe at its relaxed geometry.

Values from the calculation:
- formation energy without anion corrections (meV per atom) = -661
- total DFT energy (no corrections) (eV/atom) = -5.83
- total magnetic moment (μB/atom) = 0.00
- relative energy among the computed polymorphs (meV per atom) = 552

Unit cell a=6.705 b=6.705 c=13.559 alpha=90.00 beta=90.00 gamma=90.00
Space group I-42d (No. 122)
One atom of each set of equivalent atoms:
1 Y 0.212 0.250 0.125 (multiplicity 8)
2 Ge 0.000 0.000 0.000 (multiplicity 4)
3 Te 0.000 0.000 0.500 (multiplicity 4)

=====

3.
A plane-wave DFT calculation with PBE was carried out for crystalline Y2Ge2Te at its relaxed geometry.

Values from the calculation:
- formation energy without anion corrections (meV per atom) = -854
- total DFT energy (no corrections) (eV/atom) = -5.91
- total magnetic moment (μB/atom) = 0.00
- relative energy among the computed polymorphs (meV per atom) = 0

Unit cell a=3.926 b=3.926 c=16.083 alpha=90.00 beta=90.00 gamma=90.00
Space group I4/mmm (No. 139)
One atom of each set of equivalent atoms:
1 Y 0.000 0.000 0.111 (multiplicity 4)
2 Ge 0.000 0.500 0.250 (multiplicity 4)
3 Te 0.000 0.000 0.500 (multiplicity 2)

=====

4.
A plane-wave DFT calculation with PBE was carried out for crystalline Y2GeTe at its relaxed geometry.

Values from the calculation:
- formation energy without anion corrections (meV per atom) = -871
- total DFT energy (no corrections) (eV/atom) = -6.04
- total magnetic moment (μB/atom) = 0.00
- relative energy among the computed polymorphs (meV per atom) = 342

Unit cell a=5.1542 b=5.1542 c=5.9383 alpha=90.00 beta=90.00 gamma=120.00
Space group P-6m2 (No. 187)
One atom of each set of equivalent atoms:
1 Y 0.0000 0.0000 0.0000 (multiplicity 1)
2 Y 0.3333 0.6667 0.5000 (multiplicity 1)
3 Ge 0.3333 0.6667 0.0000 (multiplicity 1)
4 Te 0.0000 0.0000 0.5000 (multiplicity 1)

=====

- What is the formula in the first record?
  Y5GeTe5

=====

- What is the total magnetic moment in the first record?
  0.00 μB/atom

=====

- Which formula does entry 2 have?
  Y2GeTe